No. 1
Compound: La12InGa5
Source: the Alexandria database
Functional: PBE
Structure: relaxed

abc: 9.089 9.089 9.089
angles: 112.13 111.24 105.13
Positions (direct):
La  0.043  0.239  0.804
La  0.176  0.274  0.450
La  0.176  0.726  0.903
La  0.325  0.030  0.705
La  0.325  0.620  0.295
La  0.435  0.239  0.196
La  0.565  0.761  0.804
La  0.675  0.380  0.705
La  0.675  0.970  0.295
La  0.824  0.274  0.097
La  0.824  0.726  0.550
La  0.957  0.761  0.196
In  0.500  0.500  0.000
Ga  0.000  0.000  0.000
Ga  0.119  0.619  0.500
Ga  0.356  0.000  0.356
Ga  0.644  0.000  0.644
Ga  0.881  0.381  0.500

## Properties
Calculated volume = 32.0 Å³/atom
DFT total energy = -4.667 eV/atom
E_form = -0.3887 eV per atom

No. 2
Compound: KSrY2
Source: the Alexandria database
Functional: PBE
Structure: relaxed

abc: 3.975 6.194 6.639
angles: 90.00 90.00 90.00
Positions (direct):
K  0.000  0.000  0.000
Sr  0.500  0.500  0.000
Y  0.000  0.500  0.500
Y  0.500  0.000  0.500

## Properties
Calculated volume = 40.9 Å³/atom
Energy relative to the lowest polymorph listed for this composition = 218.1 meV per atom
DFT total energy = -3.505 eV/atom
E_form = 0.4218 eV per atom

No. 3
Compound: TmH4Os
Source: the Alexandria database
Functional: PBE
Structure: relaxed

abc: 4.543 4.543 4.543
angles: 111.12 111.12 106.22
Positions (direct):
Tm  0.000  0.000  0.000
H  0.012  0.512  0.025
H  0.012  0.988  0.500
H  0.488  0.512  0.500
H  0.488  0.988  0.975
Os  0.250  0.750  0.500

## Properties
Calculated volume = 12.0 Å³/atom
DFT total energy = -4.902 eV/atom